# KLiReSe2 (GGA-PBE, relaxed)
data_KLiReSe2
_chemical_formula_sum 'K1 Li1 Re1 Se2'
_symmetry_space_group_name_H-M 'P 4/m m m'
_symmetry_Int_Tables_number 123
_symmetry_space_group_name_Hall '-P 4 2'
_cell_length_a 5.881
_cell_length_b 5.881
_cell_length_c 5.788
_cell_angle_alpha 90.00
_cell_angle_beta 90.00
_cell_angle_gamma 90.00
loop_
_atom_site_label
_atom_site_fract_x
_atom_site_fract_y
_atom_site_fract_z
K1 0.000 0.000 0.000
Li1 0.500 0.500 0.500
Re1 0.000 0.000 0.500
Se1 0.000 0.500 0.000
# Formation energy from raw total energies   155 kJ/mol of atoms
# ΔE to the lowest computed polymorph   210 meV/atom



NdUV: relaxed, GGA-PBE.

The structure in CIF format:
```
data_NdUV
_chemical_formula_sum 'Nd4 U4 V4'
_symmetry_space_group_name_H-M 'C 1 2/m 1'
_symmetry_Int_Tables_number 12
_symmetry_space_group_name_Hall '-C 2y'
_cell_length_a 13.265
_cell_length_b 3.220
_cell_length_c 8.186
_cell_angle_alpha 90.00
_cell_angle_beta 126.71
_cell_angle_gamma 90.00
loop_
_atom_site_label
_atom_site_fract_x
_atom_site_fract_y
_atom_site_fract_z
Nd1 0.102 0.000 0.271
U1 0.119 0.500 0.675
V1 0.169 0.500 0.992
```



| no. | electronic total energy (eV per atom) |
| --- | --- |
| 1 | -2.88 |
| 2 | -7.98 |